(1)
# PBE Pr12Hg6C, relaxed
# magnetic moment	0.000	μB per atom
# E	-219.64	eV for the cell shown
# calculated density	8.0	g/cm3
# energy relative to the elements	-0.25	eV per atom
data_Pr12Hg6C
_chemical_formula_sum 'Pr36 Hg18 C3'
_cell_length_a 12.5114
_cell_length_b 12.5114
_cell_length_c 13.3227
_cell_angle_alpha 90.00
_cell_angle_beta 90.00
_cell_angle_gamma 120.00
_symmetry_space_group_name_H-M 'R -3'
_symmetry_Int_Tables_number 148
_symmetry_space_group_name_Hall '-R 3'
loop_
_atom_site_label
_atom_site_fract_x
_atom_site_fract_y
_atom_site_fract_z
Pr1 0.0350 0.1803 0.3874
Pr2 0.0361 0.8481 0.8846
Hg1 0.0037 0.6032 0.7516
C1 0.0000 0.0000 0.5000


(2)
# PBE Pr6Hg2C, relaxed
# magnetic moment	0.000	μB per atom
# E	-77.37	eV for the cell shown
# calculated density	6.8	g/cm3
# energy relative to the lowest polymorph listed for this composition	210	meV per atom
# energy relative to the elements	-0.02	eV per atom
data_Pr6Hg2C
_chemical_formula_sum 'Pr12 Hg4 C2'
_cell_length_a 7.2174
_cell_length_b 7.2174
_cell_length_c 11.8056
_cell_angle_alpha 90.00
_cell_angle_beta 90.00
_cell_angle_gamma 90.00
_symmetry_space_group_name_H-M 'P 42/m n m'
_symmetry_Int_Tables_number 136
_symmetry_space_group_name_Hall '-P 4n 2n'
loop_
_atom_site_label
_atom_site_fract_x
_atom_site_fract_y
_atom_site_fract_z
Pr1 0.1908 0.1908 0.1498
Pr2 0.2439 0.7561 0.0000
Hg1 0.0000 0.0000 0.3598
C1 0.0000 0.0000 0.0000


(3)
# PBE Pr2HgC2, relaxed
# magnetic moment	0.000	μB per atom
# E	-118.92	eV for the cell shown
# calculated density	7.7	g/cm3
# energy relative to the elements	-0.28	eV per atom
data_Pr2HgC2
_chemical_formula_sum 'Pr8 Hg4 C8'
_cell_length_a 15.6079
_cell_length_b 4.1141
_cell_length_c 7.1375
_cell_angle_alpha 90.00
_cell_angle_beta 106.81
_cell_angle_gamma 90.00
_symmetry_space_group_name_H-M 'C 1 2/c 1'
_symmetry_Int_Tables_number 15
loop_
_symmetry_equiv_pos_as_xyz
'x,y,z'
'-x,-y,-z'
'-x,y,-z+1/2'
'x,-y,z+1/2'
'x+1/2,y+1/2,z'
'-x+1/2,-y+1/2,-z'
'-x+1/2,y+1/2,-z+1/2'
'x+1/2,-y+1/2,z+1/2'
loop_
_atom_site_label
_atom_site_fract_x
_atom_site_fract_y
_atom_site_fract_z
Pr1 0.1511 0.1651 0.1276
Hg1 0.0000 0.4139 0.7500
C1 0.2255 0.3678 0.5245


(4)
# PBE Pr2HgC, relaxed
# magnetic moment	0.169	μB per atom
# E	-59.65	eV for the cell shown
# calculated density	8.1	g/cm3
# energy relative to the elements	-0.20	eV per atom
data_Pr2HgC
_chemical_formula_sum 'Pr6 Hg3 C3'
_cell_length_a 3.8124
_cell_length_b 3.8124
_cell_length_c 24.1805
_cell_angle_alpha 90.00
_cell_angle_beta 90.00
_cell_angle_gamma 120.00
_symmetry_space_group_name_H-M 'R -3 m'
_symmetry_Int_Tables_number 166
_symmetry_space_group_name_Hall '-R 3 2"'
loop_
_atom_site_label
_atom_site_fract_x
_atom_site_fract_y
_atom_site_fract_z
Pr1 0.0000 0.0000 0.2259
Hg1 0.0000 0.0000 0.0000
C1 0.0000 0.0000 0.5000